Material: CaCr2GeO6
Method: DFT, GGA+U
State: relaxed

The total energy comes out at -7.199 eV/atom. The crystal system is trigonal.

a b c (Å): 5.2159 5.2159 14.0191
angles (deg): 90.00 90.00 120.00
Space group R3 (No. 146, hexagonal axes)
Symmetry-distinct sites (fractional):
1 Ca 0.0000 0.0000 0.0000 (multiplicity 3)
2 Cr 0.0000 0.0000 0.2778 (multiplicity 3)
3 Cr 0.0000 0.0000 0.7845 (multiplicity 3)
4 Ge 0.0000 0.0000 0.4773 (multiplicity 3)
5 O 0.0097 0.3384 0.5381 (multiplicity 9)
6 O 0.0323 0.6143 0.0493 (multiplicity 9)